Material: LaCoW
Method: DFT, PBEsol
State: optimized geometry

The space group is F-43m (No. 216) and the conventional cell measures 6.204, 6.204 and 6.204 Å, with angles of 90.00, 90.00 and 90.00 degrees. The inequivalent atoms are La at (0.000, 0.000, 0.000), Co at (0.000, 0.000, 0.500) and W at (0.250, 0.250, 0.250).

Its energy of formation is 315.0 kJ/mol of formula units. The calculation puts the electronic total energy at -0.57882 Ry per atom.

***

Material: LaY3Co
Method: DFT, PBEsol
State: optimized geometry

The space group is Pm-3m (No. 221) and the conventional cell measures 5.254, 5.254 and 5.254 Å, with angles of 90.00, 90.00 and 90.00 degrees. The inequivalent atoms are La at (0.000, 0.000, 0.000), Y at (0.000, 0.500, 0.500) and Co at (0.500, 0.500, 0.500).

Its energy of formation is -8.7 kJ/mol of formula units. The calculation puts the electronic total energy at -0.49451 Ry per atom.

***

Material: LaYCo2
Method: DFT, PBEsol
State: optimized geometry

The space group is Imm2 (No. 44) and the conventional cell measures 3.571, 3.984 and 11.687 Å, with angles of 90.00, 90.00 and 90.00 degrees. The inequivalent atoms are La at (0.000, 0.000, 0.000), Y at (0.000, 0.500, 0.768), Co at (0.000, 0.000, 0.582) and Co at (0.000, 0.500, 0.198).

As for the excess energy over the best structure of this formula in the dataset: 150 meV/atom. Its energy of formation is 17.0 kJ/mol of formula units. The calculation puts the electronic total energy at -0.50468 Ry per atom.

***

Going through the records in order, we get density values of 10.62; 5.32; 6.90 g/cm3.